[1]
Material: MnVMo
Method: DFT, PBE
State: optimized geometry

energy above the lowest structure with this stoichiometry = 0.030 eV per atom

Geometry as CIF:
```
data_MnVMo
_chemical_formula_sum 'Mn1 V1 Mo1'
_cell_length_a 4.1811
_cell_length_b 4.1811
_cell_length_c 2.6435
_cell_angle_alpha 90.00
_cell_angle_beta 90.00
_cell_angle_gamma 120.00
_symmetry_space_group_name_H-M 'P 3 m 1'
_symmetry_Int_Tables_number 156
_symmetry_space_group_name_Hall 'P 3 -2"'
loop_
_atom_site_label
_atom_site_fract_x
_atom_site_fract_y
_atom_site_fract_z
Mn1 0.0000 0.0000 0.0000
V1 0.6667 0.3333 0.3294
Mo1 0.3333 0.6667 0.6690
```

[2]
Material: AlNiC
Method: DFT, PBE
State: optimized geometry

energy above the lowest structure with this stoichiometry = 0.000 eV per atom

Geometry as CIF:
```
data_AlNiC
_chemical_formula_sum 'Al4 Ni4 C4'
_cell_length_a 11.582
_cell_length_b 3.206
_cell_length_c 3.713
_cell_angle_alpha 90.00
_cell_angle_beta 102.06
_cell_angle_gamma 90.00
_symmetry_space_group_name_H-M 'C 1 2/m 1'
_symmetry_Int_Tables_number 12
_symmetry_space_group_name_Hall '-C 2y'
loop_
_atom_site_label
_atom_site_fract_x
_atom_site_fract_y
_atom_site_fract_z
Al1 0.178 0.000 0.200
Ni1 0.108 0.500 0.647
C1 0.055 0.500 0.119
```

[3]
Material: LiCeZn2Pd4
Method: DFT, PBE
State: optimized geometry

electronic total energy = -4.498 eV/atom

Geometry as CIF:
```
data_LiCeZn2Pd4
_chemical_formula_sum 'Li3 Ce3 Zn6 Pd12'
_cell_length_a 4.3633
_cell_length_b 4.3633
_cell_length_c 24.3259
_cell_angle_alpha 90.00
_cell_angle_beta 90.00
_cell_angle_gamma 120.00
_symmetry_space_group_name_H-M 'R -3 m'
_symmetry_Int_Tables_number 166
_symmetry_space_group_name_Hall '-R 3 2"'
loop_
_atom_site_label
_atom_site_fract_x
_atom_site_fract_y
_atom_site_fract_z
Li1 0.0000 0.0000 0.0000
Ce1 0.0000 0.0000 0.5000
Zn1 0.0000 0.0000 0.2625
Pd1 0.0000 0.0000 0.1026
Pd2 0.0000 0.0000 0.3719
```

[4]
Material: YBe2Mo
Method: DFT, PBE
State: optimized geometry

energy above the lowest structure with this stoichiometry = 0.273 eV per atom

Geometry as CIF:
```
data_YBe2Mo
_chemical_formula_sum 'Y1 Be2 Mo1'
_cell_length_a 4.569
_cell_length_b 4.569
_cell_length_c 2.868
_cell_angle_alpha 90.00
_cell_angle_beta 90.00
_cell_angle_gamma 90.00
_symmetry_space_group_name_H-M 'P 4/m m m'
_symmetry_Int_Tables_number 123
_symmetry_space_group_name_Hall '-P 4 2'
loop_
_atom_site_label
_atom_site_fract_x
_atom_site_fract_y
_atom_site_fract_z
Y1 0.000 0.000 0.000
Be1 0.000 0.500 0.500
Mo1 0.500 0.500 0.000
```

[5]
Material: ErPuRuPt
Method: DFT, PBE
State: optimized geometry

electronic total energy = -9.141 eV/atom

Geometry as CIF:
```
data_ErPuRuPt
_chemical_formula_sum 'Er4 Pu4 Ru4 Pt4'
_cell_length_a 6.857
_cell_length_b 6.857
_cell_length_c 6.857
_cell_angle_alpha 90.00
_cell_angle_beta 90.00
_cell_angle_gamma 90.00
_symmetry_space_group_name_H-M 'F -4 3 m'
_symmetry_Int_Tables_number 216
_symmetry_space_group_name_Hall 'F -4 2 3'
loop_
_atom_site_label
_atom_site_fract_x
_atom_site_fract_y
_atom_site_fract_z
Er1 0.000 0.000 0.000
Pu1 0.000 0.000 0.500
Ru1 0.250 0.250 0.750
Pt1 0.250 0.250 0.250
```

[6]
Material: AlCr2Cl
Method: DFT, PBE
State: optimized geometry

energy above the lowest structure with this stoichiometry = 0.525 eV per atom
ΔE_f (raw) = 0.542 eV/atom

Geometry as CIF:
```
data_AlCr2Cl
_chemical_formula_sum 'Al2 Cr4 Cl2'
_cell_length_a 3.731
_cell_length_b 3.731
_cell_length_c 10.400
_cell_angle_alpha 90.00
_cell_angle_beta 90.00
_cell_angle_gamma 90.00
_symmetry_space_group_name_H-M 'I -4 m 2'
_symmetry_Int_Tables_number 119
_symmetry_space_group_name_Hall 'I -4 -2'
loop_
_atom_site_label
_atom_site_fract_x
_atom_site_fract_y
_atom_site_fract_z
Al1 0.000 0.000 0.000
Cr1 0.000 0.000 0.500
Cr2 0.000 0.500 0.250
Cl1 0.000 0.500 0.750
```

[7]
Material: Sm5GeSb4
Method: DFT, PBE
State: optimized geometry

energy above the lowest structure with this stoichiometry = 0.000 eV per atom
ΔE_f (raw) = -1.063 eV/atom

Geometry as CIF:
```
data_Sm5GeSb4
_chemical_formula_sum 'Sm10 Ge2 Sb8'
_cell_length_a 9.891
_cell_length_b 9.891
_cell_length_c 6.265
_cell_angle_alpha 90.00
_cell_angle_beta 90.00
_cell_angle_gamma 90.00
_symmetry_space_group_name_H-M 'I 4/m'
_symmetry_Int_Tables_number 87
_symmetry_space_group_name_Hall '-I 4'
loop_
_atom_site_label
_atom_site_fract_x
_atom_site_fract_y
_atom_site_fract_z
Sm1 0.000 0.000 0.000
Sm2 0.099 0.709 0.500
Ge1 0.000 0.000 0.500
Sb1 0.096 0.698 0.000
```

[8]
Material: HgSe
Method: DFT, PBE
State: optimized geometry

ΔE_f (raw) = -0.002 eV/atom

Geometry as CIF:
```
data_HgSe
_chemical_formula_sum 'Hg3 Se3'
_cell_length_a 7.0284
_cell_length_b 7.0284
_cell_length_c 3.8373
_cell_angle_alpha 90.00
_cell_angle_beta 90.00
_cell_angle_gamma 120.00
_symmetry_space_group_name_H-M 'P -6 2 m'
_symmetry_Int_Tables_number 189
_symmetry_space_group_name_Hall 'P -6 -2'
loop_
_atom_site_label
_atom_site_fract_x
_atom_site_fract_y
_atom_site_fract_z
Hg1 0.0000 0.0000 0.0000
Hg2 0.3333 0.6667 0.5000
Se1 0.0000 0.3759 0.0000
```

[9]
Material: BeInRe2
Method: DFT, PBE
State: optimized geometry

energy above the lowest structure with this stoichiometry = 0.650 eV per atom

Geometry as CIF:
```
data_BeInRe2
_chemical_formula_sum 'Be4 In4 Re8'
_cell_length_a 3.857
_cell_length_b 3.857
_cell_length_c 18.415
_cell_angle_alpha 90.00
_cell_angle_beta 90.00
_cell_angle_gamma 90.00
_symmetry_space_group_name_H-M 'I -4 2 d'
_symmetry_Int_Tables_number 122
_symmetry_space_group_name_Hall 'I -4 2bw'
loop_
_atom_site_label
_atom_site_fract_x
_atom_site_fract_y
_atom_site_fract_z
Be1 0.000 0.000 0.000
In1 0.000 0.000 0.500
Re1 0.185 0.750 0.125
```

[10]
Material: LiHgRu2
Method: DFT, PBE
State: optimized geometry

electronic total energy = -4.550 eV/atom

Geometry as CIF:
```
data_LiHgRu2
_chemical_formula_sum 'Li1 Hg1 Ru2'
_cell_length_a 2.830
_cell_length_b 2.830
_cell_length_c 7.770
_cell_angle_alpha 90.00
_cell_angle_beta 90.00
_cell_angle_gamma 90.00
_symmetry_space_group_name_H-M 'P 4/m m m'
_symmetry_Int_Tables_number 123
_symmetry_space_group_name_Hall '-P 4 2'
loop_
_atom_site_label
_atom_site_fract_x
_atom_site_fract_y
_atom_site_fract_z
Li1 0.000 0.000 0.000
Hg1 0.000 0.000 0.500
Ru1 0.500 0.500 0.220
```

[11]
Material: Ac3Cd4Ni2
Method: DFT, PBE
State: optimized geometry

electronic total energy = -3.279 eV/atom

Geometry as CIF:
```
data_Ac3Cd4Ni2
_chemical_formula_sum 'Ac6 Cd8 Ni4'
_cell_length_a 10.783
_cell_length_b 5.085
_cell_length_c 9.018
_cell_angle_alpha 90.00
_cell_angle_beta 100.15
_cell_angle_gamma 90.00
_symmetry_space_group_name_H-M 'C 1 2/m 1'
_symmetry_Int_Tables_number 12
_symmetry_space_group_name_Hall '-C 2y'
loop_
_atom_site_label
_atom_site_fract_x
_atom_site_fract_y
_atom_site_fract_z
Ac1 0.000 0.000 0.000
Ac2 0.111 0.500 0.693
Cd1 0.107 0.000 0.411
Cd2 0.208 0.500 0.093
Ni1 0.176 0.500 0.379
```

[12]
Material: Nd2ErGe3Pt4
Method: DFT, PBE
State: optimized geometry

electronic total energy = -6.187 eV/atom

Geometry as CIF:
```
data_Nd2ErGe3Pt4
_chemical_formula_sum 'Nd2 Er1 Ge3 Pt4'
_cell_length_a 4.324
_cell_length_b 4.324
_cell_length_c 11.092
_cell_angle_alpha 90.00
_cell_angle_beta 90.00
_cell_angle_gamma 90.00
_symmetry_space_group_name_H-M 'P -4 m 2'
_symmetry_Int_Tables_number 115
_symmetry_space_group_name_Hall 'P -4 -2'
loop_
_atom_site_label
_atom_site_fract_x
_atom_site_fract_y
_atom_site_fract_z
Nd1 0.000 0.500 0.223
Er1 0.000 0.000 0.500
Ge1 0.000 0.500 0.877
Ge2 0.500 0.500 0.500
Pt1 0.000 0.000 0.000
Pt2 0.000 0.500 0.654
Pt3 0.500 0.500 0.000
```